Entry from the Alexandria database: a crystal of LaSnPtW2 relaxed with PBEsol (meta-GGA SCAN). Values from VASP.

Geometry as Quantum ESPRESSO input:
```
&SYSTEM
  ibrav = 0, nat = 5, ntyp = 4
/
ATOMIC_SPECIES
La 138.91 La.upf
Sn 118.71 Sn.upf
Pt 195.08 Pt.upf
W 183.84 W.upf
CELL_PARAMETERS angstrom
4.8319 0.0000 0.0000
0.0000 4.8319 0.0000
0.0000 0.0000 5.4116
ATOMIC_POSITIONS angstrom
La 0.0000 0.0000 0.0000
Sn 2.4159 2.4159 0.0000
Pt 0.0000 0.0000 2.7058
W 0.0000 2.4159 2.7058
W 2.4159 0.0000 2.7058
```

Space-group type: P4/mmm, No. 123
Volume, A^3/atom: 25.27
DFT formation energy, eV per atom: 1.06
Crystal system: tetragonal



Entry from the Alexandria database: a crystal of SrLaPt relaxed with PBEsol (meta-GGA SCAN). Values from VASP.

Geometry as Quantum ESPRESSO input:
```
&SYSTEM
  ibrav = 0, nat = 6, ntyp = 3
/
ATOMIC_SPECIES
Sr 87.62 Sr.upf
La 138.91 La.upf
Pt 195.08 Pt.upf
CELL_PARAMETERS angstrom
4.3874 0.0000 0.0000
0.0000 5.7413 0.0000
0.0000 0.0000 8.4198
ATOMIC_POSITIONS angstrom
Sr 1.0968 1.4353 1.0527
Sr 3.2905 4.3059 7.3671
La 1.0968 1.4353 5.0136
La 3.2905 4.3059 3.4062
Pt 1.0968 4.3059 5.3286
Pt 3.2905 1.4353 3.0912
```

Space-group type: Pmmn, No. 59
Volume, A^3/atom: 35.35
DFT formation energy, eV per atom: -0.95
Crystal system: orthorhombic



Entry from the Alexandria database: a crystal of SrLaPt relaxed with PBEsol (meta-GGA SCAN). Values from VASP.

Geometry as Quantum ESPRESSO input:
```
&SYSTEM
  ibrav = 0, nat = 3, ntyp = 3
/
ATOMIC_SPECIES
Sr 87.62 Sr.upf
La 138.91 La.upf
Pt 195.08 Pt.upf
CELL_PARAMETERS angstrom
4.2542 0.0000 0.0000
-2.1271 3.6842 0.0000
0.0000 0.0000 6.8914
ATOMIC_POSITIONS angstrom
Sr 0.0000 0.0000 0.0000
La 0.0000 2.4562 3.1946
Pt 2.1271 1.2281 1.7916
```

Space-group type: P3m1, No. 156
Volume, A^3/atom: 36.00
DFT formation energy, eV per atom: -0.87
Crystal system: trigonal



Entry from the Alexandria database: a crystal of SrLaPt4 relaxed with PBEsol (meta-GGA SCAN). Values from VASP.

Geometry as Quantum ESPRESSO input:
```
&SYSTEM
  ibrav = 0, nat = 6, ntyp = 3
/
ATOMIC_SPECIES
Sr 87.62 Sr.upf
La 138.91 La.upf
Pt 195.08 Pt.upf
CELL_PARAMETERS angstrom
0.0000 3.8707 3.8707
3.8707 0.0000 3.8707
3.8707 3.8707 0.0000
ATOMIC_POSITIONS angstrom
Sr 0.0000 0.0000 0.0000
La 1.9354 1.9354 1.9354
Pt 4.8395 2.9019 2.9019
Pt 2.9019 4.8395 2.9019
Pt 2.9019 2.9019 4.8395
Pt 4.8395 4.8395 4.8395
```

Space-group type: F-43m, No. 216
Volume, A^3/atom: 19.33
DFT formation energy, eV per atom: -1.13
Crystal system: cubic



Entry from the Alexandria database: a crystal of SrLa2Pt2 relaxed with PBEsol (meta-GGA SCAN). Values from VASP.

Geometry as Quantum ESPRESSO input:
```
&SYSTEM
  ibrav = 0, nat = 10, ntyp = 3
/
ATOMIC_SPECIES
Sr 87.62 Sr.upf
La 138.91 La.upf
Pt 195.08 Pt.upf
CELL_PARAMETERS angstrom
8.0961 0.0000 0.0000
0.0000 8.0961 0.0000
0.0000 0.0000 4.0320
ATOMIC_POSITIONS angstrom
Sr 0.0000 0.0000 0.0000
Sr 4.0480 4.0480 0.0000
La 1.2653 2.7827 2.0160
La 2.7827 6.8308 2.0160
La 5.3133 1.2653 2.0160
La 6.8308 5.3133 2.0160
Pt 1.0922 5.1403 0.0000
Pt 2.9558 1.0922 0.0000
Pt 5.1403 7.0038 0.0000
Pt 7.0038 2.9558 0.0000
```

Space-group type: P4/mbm, No. 127
Volume, A^3/atom: 26.43
DFT formation energy, eV per atom: -1.04
Crystal system: tetragonal



Entry from the Alexandria database: a crystal of LaTaPt relaxed with PBEsol (meta-GGA SCAN). Values from VASP.

Geometry as Quantum ESPRESSO input:
```
&SYSTEM
  ibrav = 0, nat = 3, ntyp = 3
/
ATOMIC_SPECIES
La 138.91 La.upf
Ta 180.95 Ta.upf
Pt 195.08 Pt.upf
CELL_PARAMETERS angstrom
3.3208 0.0000 0.0000
-1.6604 2.8759 0.0000
0.0000 0.0000 6.8825
ATOMIC_POSITIONS angstrom
La 0.0000 0.0000 0.0000
Ta 1.6604 0.9586 2.6009
Pt 0.0000 1.9173 4.3688
```

Space-group type: P3m1, No. 156
Volume, A^3/atom: 21.91
DFT formation energy, eV per atom: -0.01
Crystal system: trigonal